[1]
This record from Alexandria via LeMat-Bulk describes a relaxed structure of Hf3CoIr2. The functional is GGA-PBE.

Results
The formation energy from the elements comes out at -4.424 eV/f.u. The calculation puts the raw total energy at -236.450 eV per cell.

a b c (Å): 4.5349 13.9233 6.4777
angles (deg): 90.00 90.00 90.00
Space group Cmmm (No. 65)
Unique sites:
Hf1 0.0000 0.0000 0.2481
Hf2 0.0000 0.3306 0.2392
Co1 0.0000 0.1492 0.0000
Ir1 0.0000 0.1662 0.5000
Ir2 0.0000 0.5000 0.0000
Ir3 0.0000 0.5000 0.5000

[2]
This record from Alexandria via LeMat-Bulk describes a relaxed structure of Hf2Co2Ir. The functional is GGA-PBE.

Results
The formation energy from the elements comes out at -2.635 eV/f.u. The calculation puts the raw total energy at -91.230 eV per cell. The excess energy over the best structure of this formula in the dataset is 0.0000 eV/atom.

a b c (Å): 6.6813 6.6813 3.4350
angles (deg): 90.00 90.00 90.00
Space group P4/mbm (No. 127)
Unique sites:
Hf1 0.1837 0.3163 0.0000
Co1 0.1184 0.6184 0.5000
Ir1 0.0000 0.0000 0.5000

[3]
This record from Alexandria via LeMat-Bulk describes a relaxed structure of HfCoIr3. The functional is GGA-PBE.

Results
The formation energy from the elements comes out at 3.382 eV/f.u. The calculation puts the raw total energy at -40.260 eV per cell.

a b c (Å): 4.4512 4.4512 4.4512
angles (deg): 90.00 90.00 90.00
Space group Pm-3m (No. 221)
Unique sites:
Hf1 0.0000 0.0000 0.0000
Co1 0.5000 0.5000 0.5000
Ir1 0.0000 0.5000 0.5000

Q: The highest formation energy from the elements belongs to which entry?
A: HfCoIr3